{"formula": "Er2UMnC4", "functional": "PBE", "state": "relaxed", "lattice_angstrom": [[-1.130, -2.742, 1.667], [5.543, -1.254, -1.777], [4.210, 4.375, 10.050]], "species": ["Er", "Er", "Er", "Er", "C", "C", "C", "C", "C", "C", "C", "C", "U", "U", "Mn", "Mn"], "fractional_positions": [[0.368, 0.735, 0.546], [0.632, 0.265, 0.046], [0.632, 0.265, 0.454], [0.368, 0.735, 0.954], [0.574, 0.148, 0.250], [0.725, 0.450, 0.860], [0.000, 0.000, 0.000], [0.426, 0.852, 0.750], [0.000, 0.000, 0.500], [0.275, 0.550, 0.140], [0.725, 0.450, 0.640], [0.275, 0.550, 0.360], [0.096, 0.192, 0.750], [0.904, 0.808, 0.250], [0.833, 0.666, 0.750], [0.167, 0.334, 0.250]], "formation_enthalpy_0k_ev_per_atom": -0.008}


{"formula": "ErMnWC3", "functional": "PBE", "state": "relaxed", "lattice_angstrom": [[3.250, 0.000, 0.000], [0.000, 6.618, 0.449], [0.000, -2.085, 6.995]], "species": ["C", "C", "C", "C", "C", "C", "Mn", "Mn", "Er", "Er", "W", "W"], "fractional_positions": [[0.250, 0.819, 0.476], [0.750, 0.879, 0.141], [0.750, 0.181, 0.524], [0.250, 0.121, 0.859], [0.250, 0.563, 0.841], [0.750, 0.437, 0.159], [0.750, 0.891, 0.397], [0.250, 0.109, 0.603], [0.750, 0.823, 0.805], [0.250, 0.177, 0.195], [0.750, 0.352, 0.865], [0.250, 0.648, 0.135]], "formation_enthalpy_0k_ev_per_atom": 0.036}


{"formula": "Er2MnZnC", "functional": "PBE", "state": "relaxed", "lattice_angstrom": [[3.742, 0.000, 0.000], [0.000, 4.902, 0.000], [0.000, 0.000, 4.902]], "species": ["Er", "Er", "Mn", "Zn", "C"], "fractional_positions": [[0.000, 0.500, 0.000], [0.000, 0.000, 0.500], [0.500, 0.000, 0.000], [0.500, 0.500, 0.500], [0.000, 0.000, 0.000]], "formation_enthalpy_0k_ev_per_atom": -0.300}


{"formula": "Er2MoC", "functional": "PBE", "state": "relaxed", "lattice_angstrom": [[3.323, 0.000, 0.000], [1.661, 2.877, 0.000], [1.661, 0.959, 8.516]], "species": ["Mo", "Er", "Er", "C"], "fractional_positions": [[0.000, 0.000, 0.000], [0.887, 0.887, 0.339], [0.113, 0.113, 0.661], [0.500, 0.500, 0.500]], "formation_enthalpy_0k_ev_per_atom": 0.533}


{"formula": "ErMo2C2", "functional": "PBE", "state": "relaxed", "lattice_angstrom": [[-1.671, -5.328, 0.840], [3.611, -0.569, -4.304], [2.462, 2.339, 4.692]], "species": ["C", "C", "C", "C", "Er", "Er", "Mo", "Mo", "Mo", "Mo"], "fractional_positions": [[0.164, 0.336, 0.750], [0.836, 0.664, 0.250], [0.414, 0.086, 0.250], [0.586, 0.914, 0.750], [0.125, 0.375, 0.250], [0.875, 0.625, 0.750], [0.234, 0.984, 0.467], [0.766, 0.016, 0.533], [0.484, 0.734, 0.967], [0.516, 0.266, 0.033]], "formation_enthalpy_0k_ev_per_atom": -0.091}


{"formula": "Er2MoC2", "functional": "PBE", "state": "relaxed", "lattice_angstrom": [[5.061, 0.000, 0.000], [0.000, 6.606, 0.000], [0.000, 0.000, 9.910]], "species": ["C", "C", "C", "C", "C", "C", "C", "C", "Er", "Er", "Er", "Er", "Er", "Er", "Er", "Er", "Mo", "Mo", "Mo", "Mo"], "fractional_positions": [[0.250, 0.064, 0.257], [0.250, 0.674, 0.556], [0.250, 0.564, 0.243], [0.750, 0.826, 0.056], [0.750, 0.326, 0.444], [0.250, 0.174, 0.944], [0.750, 0.936, 0.743], [0.750, 0.436, 0.757], [0.250, 0.454, 0.778], [0.250, 0.954, 0.722], [0.250, 0.827, 0.061], [0.750, 0.173, 0.939], [0.750, 0.673, 0.561], [0.750, 0.546, 0.222], [0.250, 0.327, 0.439], [0.750, 0.046, 0.278], [0.250, 0.793, 0.373], [0.750, 0.207, 0.627], [0.750, 0.707, 0.873], [0.250, 0.293, 0.127]], "formation_enthalpy_0k_ev_per_atom": -0.344}


{"formula": "ErPaMoC3", "functional": "PBE", "state": "relaxed", "lattice_angstrom": [[3.606, 0.000, 0.000], [0.000, 7.137, 0.814], [0.000, -1.063, 7.694]], "species": ["Pa", "Pa", "Er", "Er", "C", "C", "C", "C", "C", "C", "Mo", "Mo"], "fractional_positions": [[0.750, 0.383, 0.828], [0.250, 0.617, 0.172], [0.250, 0.145, 0.156], [0.750, 0.855, 0.844], [0.750, 0.399, 0.122], [0.250, 0.824, 0.509], [0.750, 0.871, 0.155], [0.250, 0.129, 0.845], [0.750, 0.176, 0.491], [0.250, 0.601, 0.878], [0.750, 0.893, 0.410], [0.250, 0.107, 0.590]], "formation_enthalpy_0k_ev_per_atom": -0.044}


{"formula": "ErPu2Mo2C4", "functional": "PBE", "state": "relaxed", "lattice_angstrom": [[3.348, 0.000, 0.000], [-1.674, 7.994, 1.552], [0.000, -1.427, 5.494]], "species": ["Pu", "Pu", "C", "C", "C", "C", "Mo", "Mo", "Er"], "fractional_positions": [[0.153, 0.306, 0.576], [0.847, 0.694, 0.424], [0.762, 0.525, 0.767], [0.587, 0.173, 0.836], [0.413, 0.827, 0.164], [0.238, 0.475, 0.233], [0.315, 0.631, 0.942], [0.685, 0.369, 0.058], [0.000, 0.000, 0.000]], "formation_enthalpy_0k_ev_per_atom": 0.062}


{"formula": "ErTa2MoC4", "functional": "PBE", "state": "relaxed", "lattice_angstrom": [[3.203, 0.000, 0.000], [-1.601, 5.673, 0.000], [0.000, 0.000, 11.359]], "species": ["Er", "Er", "Ta", "Ta", "Ta", "Ta", "Mo", "Mo", "C", "C", "C", "C", "C", "C", "C", "C"], "fractional_positions": [[0.117, 0.234, 0.750], [0.883, 0.766, 0.250], [0.630, 0.259, 0.033], [0.370, 0.741, 0.967], [0.630, 0.259, 0.467], [0.370, 0.741, 0.533], [0.150, 0.301, 0.250], [0.850, 0.699, 0.750], [0.000, 0.000, 0.000], [0.542, 0.084, 0.250], [0.000, 0.000, 0.500], [0.458, 0.916, 0.750], [0.262, 0.523, 0.114], [0.738, 0.477, 0.614], [0.738, 0.477, 0.886], [0.262, 0.523, 0.386]], "formation_enthalpy_0k_ev_per_atom": -0.268}


{"formula": "Er3CN2", "functional": "PBE", "state": "relaxed", "lattice_angstrom": [[3.178, 0.000, -1.326], [-0.949, 4.235, -2.275], [0.631, 0.520, 5.982]], "species": ["Er", "Er", "Er", "N", "N", "C"], "fractional_positions": [[0.173, 0.173, 0.346], [0.500, 0.500, 0.000], [0.827, 0.827, 0.654], [0.168, 0.668, 0.335], [0.832, 0.332, 0.665], [0.500, 0.000, 0.000]], "e_tot_ev_per_cell": -46.59}


{"formula": "ErCN2", "functional": "PBE", "state": "relaxed", "lattice_angstrom": [[-0.588, -0.358, 3.541], [-2.731, -4.052, -0.863], [4.692, -3.258, 0.450]], "species": ["Er", "Er", "C", "C", "N", "N", "N", "N"], "fractional_positions": [[0.000, 0.747, 0.995], [0.500, 0.253, 0.495], [0.000, 0.711, 0.442], [0.500, 0.289, 0.942], [0.000, 0.961, 0.377], [0.500, 0.039, 0.877], [0.000, 0.535, 0.608], [0.500, 0.465, 0.108]], "e_tot_ev_per_cell": -65.99}


{"formula": "Er4CN3", "functional": "PBE", "state": "relaxed", "lattice_angstrom": [[-1.619, 0.843, 4.536], [4.209, -1.700, 1.818], [1.891, 4.507, -0.163]], "species": ["N", "N", "N", "Er", "Er", "Er", "Er", "C"], "fractional_positions": [[0.500, 0.500, 0.000], [0.000, 0.500, 0.500], [0.500, 0.000, 0.500], [0.000, 0.000, 0.500], [0.500, 0.500, 0.500], [0.000, 0.500, 0.000], [0.500, 0.000, 0.000], [0.000, 0.000, 0.000]], "e_tot_ev_per_cell": -63.01}


{"formula": "Er6CN4", "functional": "PBE", "state": "relaxed", "lattice_angstrom": [[7.095, -0.150, 0.092], [-0.091, 7.096, 0.092], [0.152, 0.150, 7.094]], "species": ["N", "N", "N", "N", "N", "N", "N", "N", "Er", "Er", "Er", "Er", "Er", "Er", "Er", "Er", "Er", "Er", "Er", "Er", "C", "C"], "fractional_positions": [[0.750, 0.750, 0.250], [0.598, 0.902, 0.750], [0.250, 0.598, 0.098], [0.098, 0.750, 0.598], [0.750, 0.402, 0.902], [0.250, 0.250, 0.750], [0.902, 0.250, 0.402], [0.402, 0.098, 0.250], [0.815, 0.555, 0.530], [0.185, 0.445, 0.470], [0.470, 0.815, 0.445], [0.030, 0.945, 0.315], [0.945, 0.685, 0.970], [0.055, 0.315, 0.030], [0.685, 0.030, 0.055], [0.530, 0.185, 0.555], [0.555, 0.470, 0.185], [0.315, 0.970, 0.945], [0.970, 0.055, 0.685], [0.445, 0.530, 0.815], [0.500, 0.500, 0.500], [0.000, 0.000, 0.000]], "e_tot_ev_per_cell": -155.69}


{"formula": "Er8C3N2", "functional": "PBE", "state": "relaxed", "lattice_angstrom": [[5.953, -0.038, 1.753], [1.100, 5.996, 3.495], [0.021, -0.015, 7.027]], "species": ["Er", "Er", "Er", "Er", "Er", "Er", "Er", "Er", "C", "C", "C", "N", "N"], "fractional_positions": [[0.233, 0.887, 0.365], [0.240, 0.882, 0.882], [0.767, 0.635, 0.113], [0.781, 0.623, 0.623], [0.233, 0.365, 0.887], [0.767, 0.113, 0.635], [0.760, 0.118, 0.118], [0.219, 0.377, 0.377], [0.000, 0.254, 0.746], [0.000, 0.746, 0.254], [0.500, 0.000, 0.000], [0.009, 0.249, 0.249], [0.991, 0.751, 0.751]], "e_tot_ev_per_cell": -90.43}


{"formula": "ErCN", "functional": "PBE", "state": "relaxed", "lattice_angstrom": [[-2.803, -2.036, -0.769], [1.964, -2.907, 0.535], [-0.373, 2.468, 3.013]], "species": ["N", "Er", "C"], "fractional_positions": [[0.009, 0.009, 0.018], [0.618, 0.618, 0.236], [0.223, 0.223, 0.446]], "e_tot_ev_per_cell": -23.66}


{"formula": "ErCN3", "functional": "PBE", "state": "relaxed", "lattice_angstrom": [[-3.055, -0.249, -1.553], [-2.554, 0.072, 5.015], [1.169, 6.184, 0.507]], "species": ["N", "N", "N", "N", "N", "N", "C", "C", "Er", "Er"], "fractional_positions": [[0.654, 0.560, 0.809], [0.346, 0.060, 0.191], [0.346, 0.440, 0.191], [0.654, 0.940, 0.809], [0.523, 0.250, 0.546], [0.477, 0.750, 0.454], [0.413, 0.250, 0.326], [0.587, 0.750, 0.674], [0.848, 0.750, 0.196], [0.152, 0.250, 0.804]], "e_tot_ev_per_cell": -79.63}


{"formula": "Er6C2N", "functional": "PBE", "state": "relaxed", "lattice_angstrom": [[-6.002, -0.306, 0.554], [0.176, -5.924, -1.363], [0.443, 1.802, 5.792]], "species": ["Er", "Er", "Er", "Er", "Er", "Er", "C", "C", "N"], "fractional_positions": [[0.721, 0.670, 0.670], [0.279, 0.000, 0.670], [0.721, 0.330, 0.000], [0.721, 0.000, 0.330], [0.279, 0.330, 0.330], [0.279, 0.670, 0.000], [0.500, 0.667, 0.333], [0.500, 0.333, 0.667], [0.500, 0.000, 0.000]], "e_tot_ev_per_cell": -59.30}


{"formula": "Er4CN2", "functional": "PBE", "state": "relaxed", "lattice_angstrom": [[-0.760, -5.471, 4.407], [5.941, -2.866, -2.533], [5.304, 4.858, 6.945]], "species": ["Er", "Er", "Er", "Er", "Er", "Er", "Er", "Er", "Er", "Er", "Er", "Er", "Er", "Er", "Er", "Er", "C", "C", "C", "C", "N", "N", "N", "N", "N", "N", "N", "N"], "fractional_positions": [[0.747, 0.982, 0.495], [0.982, 0.747, 0.255], [0.747, 0.509, 0.491], [0.018, 0.747, 0.745], [0.253, 0.018, 0.995], [0.491, 0.747, 0.741], [0.982, 0.253, 0.245], [0.509, 0.747, 0.259], [0.491, 0.253, 0.759], [0.747, 0.018, 0.005], [0.747, 0.491, 0.009], [0.253, 0.509, 0.509], [0.509, 0.253, 0.241], [0.253, 0.982, 0.505], [0.253, 0.491, 0.991], [0.018, 0.253, 0.755], [0.000, 0.259, 0.000], [0.741, 0.000, 0.250], [0.000, 0.741, 0.500], [0.259, 0.000, 0.750], [0.743, 0.500, 0.250], [0.751, 0.751, 0.875], [0.500, 0.257, 0.000], [0.249, 0.249, 0.375], [0.500, 0.743, 0.500], [0.257, 0.500, 0.750], [0.249, 0.751, 0.125], [0.751, 0.249, 0.625]], "e_tot_ev_per_cell": -204.10}


{"formula": "Er8C3N", "functional": "PBE", "state": "relaxed", "lattice_angstrom": [[7.060, 0.000, 0.000], [-3.530, 5.026, -3.479], [0.000, 0.042, 7.239]], "species": ["Er", "Er", "Er", "Er", "Er", "Er", "Er", "Er", "N", "C", "C", "C"], "fractional_positions": [[0.240, 0.481, 0.222], [0.258, 0.515, 0.773], [0.760, 0.519, 0.778], [0.742, 0.982, 0.222], [0.759, 0.018, 0.778], [0.241, 0.982, 0.222], [0.742, 0.485, 0.227], [0.258, 0.018, 0.778], [0.000, 0.000, 0.000], [0.500, 0.000, 0.000], [0.000, 0.500, 0.000], [0.500, 0.500, 0.000]], "e_tot_ev_per_cell": -78.91}


{"formula": "ErC2N3", "functional": "PBE", "state": "relaxed", "lattice_angstrom": [[-2.009, 1.286, -2.675], [1.838, -4.364, -3.477], [-3.834, 0.033, 2.895]], "species": ["N", "N", "N", "Er", "C", "C"], "fractional_positions": [[0.133, 0.691, 0.881], [0.133, 0.309, 0.119], [0.145, 0.000, 0.500], [0.611, 0.500, 0.500], [0.989, 0.841, 0.181], [0.989, 0.159, 0.819]], "e_tot_ev_per_cell": -47.46}